Crystalline La2Re2Si2C at its relaxed geometry. Source: the Alexandria database, functional PBEsol.

- total moment (μB per cell) = 0.00
- electronic total energy (eV per atom) = -8.925
- E_form (uncorrected) (eV per atom) = -0.57

Cell: 4.068 5.959 6.124 Å, 74.15 70.60 70.04°
Fractional coordinates of all 7 atoms:
Re 0.203 0.678 0.916
Re 0.797 0.322 0.084
Si 0.149 0.405 0.298
Si 0.851 0.595 0.702
C 0.000 0.000 0.000
La 0.574 0.157 0.696
La 0.426 0.843 0.304

Crystalline LaAsSeBr2 at its relaxed geometry. Source: the Alexandria database, functional PBEsol.

- total moment (μB per cell) = 1.50
- electronic total energy (eV per atom) = -3.846
- E_form (uncorrected) (eV per atom) = -0.24

Cell: 5.548 5.548 6.204 Å, 90.00 90.00 90.00°
Each line ends with the local moment (μB).
Fractional coordinates of all 5 atoms:
As 0.000 0.000 0.500  0.32
Se 0.500 0.500 0.500  0.39
Br 0.000 0.500 0.000  0.02
Br 0.500 0.000 0.000  0.02
La 0.000 0.000 0.000  0.02

> Among the records above, which one has the lowest electronic total energy?

La2Re2Si2C

Repeat the first record exactly.
Crystalline La2Re2Si2C at its relaxed geometry. Source: the Alexandria database, functional PBEsol.

- total moment (μB per cell) = 0.00
- electronic total energy (eV per atom) = -8.925
- E_form (uncorrected) (eV per atom) = -0.57

Cell: 4.068 5.959 6.124 Å, 74.15 70.60 70.04°
Fractional coordinates of all 7 atoms:
Re 0.203 0.678 0.916
Re 0.797 0.322 0.084
Si 0.149 0.405 0.298
Si 0.851 0.595 0.702
C 0.000 0.000 0.000
La 0.574 0.157 0.696
La 0.426 0.843 0.304